Entry 1:
The following is a PBE calculation of an optimized crystal structure of Cu12Se5Br3, from the Alexandria database.

Cell and atoms, written as POSCAR:
```
Cu12Se5Br3
1.0
-7.344 7.344 7.344
7.344 -7.344 7.344
7.344 7.344 -7.344
Cu Se Br
48 20 12
Direct
0.034 0.216 0.092
0.034 0.318 0.942
0.058 0.592 0.376
0.058 0.966 0.682
0.092 0.034 0.216
0.092 0.558 0.876
0.124 0.716 0.682
0.124 0.908 0.442
0.182 0.216 0.624
0.182 0.466 0.558
0.216 0.092 0.034
0.216 0.624 0.182
0.284 0.318 0.876
0.284 0.466 0.408
0.318 0.876 0.284
0.318 0.942 0.034
0.376 0.058 0.592
0.376 0.818 0.784
0.408 0.284 0.466
0.408 0.624 0.942
0.442 0.124 0.908
0.442 0.818 0.534
0.466 0.408 0.284
0.466 0.558 0.182
0.534 0.442 0.818
0.534 0.592 0.716
0.558 0.182 0.466
0.558 0.876 0.092
0.592 0.376 0.058
0.592 0.716 0.534
0.624 0.182 0.216
0.624 0.942 0.408
0.682 0.058 0.966
0.682 0.124 0.716
0.716 0.534 0.592
0.716 0.682 0.124
0.784 0.376 0.818
0.784 0.908 0.966
0.818 0.534 0.442
0.818 0.784 0.376
0.876 0.092 0.558
0.876 0.284 0.318
0.908 0.442 0.124
0.908 0.966 0.784
0.942 0.034 0.318
0.942 0.408 0.624
0.966 0.682 0.058
0.966 0.784 0.908
0.000 0.000 0.000
0.000 0.000 0.500
0.000 0.500 0.000
0.000 0.500 0.500
0.125 0.750 0.875
0.125 0.875 0.250
0.250 0.125 0.875
0.250 0.625 0.375
0.375 0.250 0.625
0.375 0.625 0.750
0.500 0.000 0.000
0.500 0.000 0.500
0.500 0.500 0.000
0.500 0.500 0.500
0.625 0.375 0.250
0.625 0.750 0.375
0.750 0.375 0.625
0.750 0.875 0.125
0.875 0.125 0.750
0.875 0.250 0.125
0.125 0.250 0.375
0.125 0.375 0.750
0.250 0.375 0.125
0.250 0.875 0.625
0.375 0.125 0.250
0.375 0.750 0.125
0.625 0.250 0.875
0.625 0.875 0.750
0.750 0.125 0.375
0.750 0.625 0.875
0.875 0.625 0.250
0.875 0.750 0.625
```

Output
For the uncorrected formation energy, the calculation gives 0.035 eV per atom. As for the total energy: -3.5445 eV per atom. The value obtained for the theoretical density is 5.9 g/cm³.

---

Entry 2:
The following is a PBE calculation of an optimized crystal structure of Cu4Se5Br, from the Alexandria database.

Cell and atoms, written as POSCAR:
```
Cu4Se5Br
1.0
7.550 0.000 0.000
0.000 11.206 0.000
0.000 0.000 4.948
Cu Se Br
8 10 2
Direct
0.004 0.250 0.015
0.250 0.537 0.516
0.250 0.963 0.516
0.496 0.250 0.015
0.504 0.750 0.985
0.750 0.037 0.484
0.750 0.463 0.484
0.996 0.750 0.985
0.007 0.060 0.795
0.007 0.440 0.795
0.250 0.750 0.701
0.493 0.060 0.795
0.493 0.440 0.795
0.507 0.560 0.205
0.507 0.940 0.205
0.750 0.250 0.299
0.993 0.560 0.205
0.993 0.940 0.205
0.250 0.250 0.338
0.750 0.750 0.662
```

Output
For the uncorrected formation energy, the calculation gives -0.118 eV per atom. As for the total energy: -3.6656 eV per atom. The value obtained for the theoretical density is 5.8 g/cm³.

---

Q: Among the records above, which one has the lowest theoretical density?
A: Cu4Se5Br